[1]
The following is a GGA-PBE calculation of a relaxed Sm3DyHg12 crystal, from Alexandria via LeMat-Bulk.

```
Sm3DyHg12
1.0
-3.653 -1.738 2.145
2.619 -1.058 3.604
-3.665 17.237 7.723
Hg Dy Sm
12 1 3
Cartesian
-2.276 1.247 2.020 Hg
0.860 1.587 2.750 Hg
-1.905 14.593 8.577 Hg
-4.120 9.918 5.905 Hg
-1.428 2.886 4.794 Hg
-5.042 14.253 7.848 Hg
-0.517 -1.398 2.875 Hg
-3.271 11.556 8.678 Hg
-3.198 5.581 3.962 Hg
-2.349 7.221 6.736 Hg
-0.062 5.921 4.692 Hg
-0.984 10.258 6.635 Hg
0.000 0.000 0.000 Dy
-1.832 8.619 3.861 Sm
-2.755 12.960 5.806 Sm
-0.909 4.277 1.916 Sm
```

For the density, the calculation gives 12.4 g cm⁻³. Its density of states at the Fermi level is 0.77 states/eV/atom. The value obtained for the magnetic moment is 0.0 μB per cell. For the calculated volume, the calculation gives 403.45 Å³/cell. The calculation puts the total energy at -1.73 eV per atom. The space group is P4/mmm, No. 123. The calculation puts the formation energy from the elements at -334 meV per atom.


[2]
The following is a GGA-PBE calculation of a relaxed LaMg2Ni crystal, from Alexandria via LeMat-Bulk.

```
LaMg2Ni
1.0
-1.154 0.829 3.889
2.832 -2.666 1.409
3.586 3.929 0.227
La Mg Ni
1 2 1
Cartesian
3.209 0.632 0.818 La
0.839 -0.918 2.649 Mg
0.000 0.000 0.000 Mg
1.216 2.379 2.058 Ni
```

For the density, the calculation gives 4.5 g cm⁻³. Its density of states at the Fermi level is 0.43 states/eV/atom. The value obtained for the magnetic moment is 0.0 μB per cell. For the calculated volume, the calculation gives 91.20 Å³/cell. The calculation puts the total energy at -3.51 eV per atom. The space group is P4/mmm, No. 123. The calculation puts the formation energy from the elements at -31 meV per atom.


[3]
The following is a GGA-PBE calculation of a relaxed TaAsRh2 crystal, from Alexandria via LeMat-Bulk.

```
TaAsRh2
1.0
2.955 0.000 0.000
0.000 4.013 0.000
0.000 0.000 5.310
As Ta Rh
1 1 2
Cartesian
1.477 2.006 4.187 As
0.000 0.000 2.522 Ta
1.477 2.006 1.438 Rh
0.000 0.000 5.129 Rh
```

For the density, the calculation gives 12.2 g cm⁻³. Its density of states at the Fermi level is 0.78 states/eV/atom. The value obtained for the magnetic moment is 0.0 μB per cell. For the calculated volume, the calculation gives 62.95 Å³/cell. The calculation puts the total energy at -8.06 eV per atom. The space group is Pmm2, No. 25. The calculation puts the formation energy from the elements at -263 meV per atom.


[4]
The following is a GGA-PBE calculation of a relaxed LiPuF3 crystal, from Alexandria via LeMat-Bulk.

```
LiPuF3
1.0
4.933 0.000 0.000
0.000 7.763 0.965
0.000 -0.277 7.110
F Li Pu
12 4 4
Cartesian
4.555 0.401 4.794 F
2.047 1.298 3.702 F
2.845 0.539 1.239 F
2.886 6.188 4.373 F
4.562 2.556 2.839 F
0.378 7.085 3.281 F
2.095 5.069 1.681 F
2.088 6.947 6.836 F
4.514 6.326 0.818 F
2.838 2.418 6.394 F
0.372 4.930 5.236 F
0.420 1.160 7.257 F
1.239 7.329 1.486 Li
3.705 0.296 3.034 Li
3.695 0.158 6.589 Li
1.228 7.190 5.041 Li
0.664 2.481 5.239 Pu
3.131 4.867 6.391 Pu
4.270 5.005 2.836 Pu
1.803 2.619 1.684 Pu
```

For the density, the calculation gives 7.5 g cm⁻³. Its density of states at the Fermi level is 1.64 states/eV/atom. The uncorrected formation energy comes out at -2.99 eV/atom. The value obtained for the magnetic moment is 24.0 μB per cell. For the calculated volume, the calculation gives 273.62 Å³/cell. The energy above the most stable polymorph in this dataset comes out at 0 meV/atom. The calculation puts the total energy at -7.36 eV per atom. The space group is P2_1/c, No. 14.


[5]
The following is a GGA-PBE calculation of a relaxed Ho2SbC crystal, from Alexandria via LeMat-Bulk.

```
Ho2SbC
1.0
-3.582 1.029 3.272
4.219 -1.273 5.020
2.868 9.769 0.067
Ho Sb C
8 4 4
Cartesian
-1.839 2.848 2.730 Ho
3.057 6.714 3.115 Ho
0.447 2.811 5.244 Ho
3.919 3.566 5.049 Ho
-0.415 5.959 3.310 Ho
2.829 9.186 5.847 Ho
5.343 6.677 5.629 Ho
0.675 0.339 2.512 Ho
1.973 5.927 5.934 Sb
2.878 0.363 4.917 Sb
0.626 9.162 3.442 Sb
1.531 3.597 2.425 Sb
-0.909 1.136 4.286 C
2.148 3.729 6.818 C
1.356 5.795 1.541 C
4.414 8.389 4.073 C
```

For the density, the calculation gives 9.1 g cm⁻³. Its density of states at the Fermi level is 0.37 states/eV/atom. The uncorrected formation energy comes out at -0.57 eV/atom. The value obtained for the magnetic moment is 0.0 μB per cell. For the calculated volume, the calculation gives 337.31 Å³/cell. The calculation puts the total energy at -6.20 eV per atom. The space group is Pnma, No. 62.


[6]
The following is a GGA-PBE calculation of a relaxed LiAc2GaHg6 crystal, from Alexandria via LeMat-Bulk.

```
LiAc2GaHg6
1.0
5.410 -0.427 -0.317
-0.809 9.133 -2.624
1.827 2.950 4.499
Hg Ac Ga Li
6 2 1 1
Cartesian
4.718 2.798 -0.890 Hg
1.769 2.148 0.901 Hg
4.584 6.353 0.403 Hg
1.711 8.858 2.447 Hg
4.660 9.509 0.656 Hg
1.844 5.304 1.154 Hg
1.987 8.206 -0.812 Ac
4.442 3.451 2.369 Ac
0.000 0.000 0.000 Ga
2.301 4.353 -1.471 Li
```

For the density, the calculation gives 10.6 g cm⁻³. Its density of states at the Fermi level is 0.48 states/eV/atom. The value obtained for the magnetic moment is 0.0 μB per cell. For the calculated volume, the calculation gives 270.73 Å³/cell. The calculation puts the total energy at -1.83 eV per atom. The space group is P-1, No. 2. The calculation puts the formation energy from the elements at -331 meV per atom.


[7]
The following is a GGA-PBE calculation of a relaxed In2SbO5 crystal, from Alexandria via LeMat-Bulk.

```
In2SbO5
1.0
-1.415 4.139 -3.477
1.467 -5.480 -2.630
-7.211 -0.303 2.573
O Sb In
10 2 4
Cartesian
-2.066 0.695 -0.004 O
-2.554 -0.842 -3.109 O
-4.604 -0.802 -0.425 O
-6.559 3.141 -0.900 O
-0.576 -1.889 -0.671 O
-4.075 2.106 -1.841 O
-7.203 0.557 0.620 O
0.045 -2.201 -4.154 O
-6.582 0.245 -2.863 O
-3.083 -3.750 -1.693 O
-3.605 -0.152 1.286 Sb
0.000 0.000 0.000 Sb
-2.170 1.090 -2.351 In
-5.762 0.900 -1.032 In
-1.396 -2.544 -2.502 In
-4.988 -2.734 -1.184 In
```

For the density, the calculation gives 6.4 g cm⁻³. Its density of states at the Fermi level is 0.18 states/eV/atom. The uncorrected formation energy comes out at -1.41 eV/atom. The value obtained for the magnetic moment is 0.0 μB per cell. For the calculated volume, the calculation gives 222.87 Å³/cell. The calculation puts the total energy at -5.70 eV per atom. The space group is C2/c, No. 15.


[8]
The following is a GGA-PBE calculation of a relaxed Pr6SnBi crystal, from Alexandria via LeMat-Bulk.

```
Pr6SnBi
1.0
5.017 0.000 0.000
0.000 5.017 0.000
0.000 0.000 10.054
Sn Pr Bi
1 6 1
Cartesian
0.000 0.000 5.027 Sn
2.508 0.000 2.556 Pr
2.508 2.508 5.027 Pr
2.508 2.508 0.000 Pr
0.000 2.508 7.497 Pr
2.508 0.000 7.497 Pr
0.000 2.508 2.556 Pr
0.000 0.000 0.000 Bi
```

For the density, the calculation gives 7.7 g cm⁻³. Its density of states at the Fermi level is 1.21 states/eV/atom. The value obtained for the magnetic moment is 0.0 μB per cell. For the calculated volume, the calculation gives 253.02 Å³/cell. The calculation puts the total energy at -5.02 eV per atom. The space group is P4/mmm, No. 123. The calculation puts the formation energy from the elements at -448 meV per atom.


[9]
The following is a GGA-PBE calculation of a relaxed Rh2WAu crystal, from Alexandria via LeMat-Bulk.

```
Rh2WAu
1.0
1.410 4.668 -0.001
-1.410 4.668 -0.001
0.000 0.885 4.690
Au Rh W
1 2 1
Cartesian
0.000 7.674 3.550 Au
0.000 9.297 -0.001 Rh
0.000 2.558 1.240 Rh
0.000 5.140 2.242 W
```

For the density, the calculation gives 15.8 g cm⁻³. Its density of states at the Fermi level is 1.19 states/eV/atom. The value obtained for the magnetic moment is 0.0 μB per cell. For the calculated volume, the calculation gives 61.74 Å³/cell. The energy above the most stable polymorph in this dataset comes out at 180 meV/atom. The calculation puts the total energy at -7.65 eV per atom. The space group is Cm, No. 8. The calculation puts the formation energy from the elements at 82 meV per atom.


[10]
The following is a GGA-PBE calculation of a relaxed BaTeIN2 crystal, from Alexandria via LeMat-Bulk.

```
BaTeIN2
1.0
-1.170 4.008 3.096
-4.892 -1.716 0.374
1.835 -3.963 5.823
N Te Ba I
2 1 1 1
Cartesian
-2.446 -0.858 0.187 N
-0.585 2.004 1.548 N
0.918 -1.981 2.912 Te
0.000 0.000 0.000 Ba
-2.113 -0.836 4.647 I
```

For the density, the calculation gives 3.5 g cm⁻³. Its density of states at the Fermi level is 0.65 states/eV/atom. The uncorrected formation energy comes out at 1.28 eV/atom. The value obtained for the magnetic moment is 4.7 μB per cell. For the calculated volume, the calculation gives 196.65 Å³/cell. The energy above the most stable polymorph in this dataset comes out at 578 meV/atom. The calculation puts the total energy at -3.37 eV per atom. The space group is P4/mmm, No. 123.